## Ac2Pr8Sm3 (GGA-PBE)

Data for a relaxed structure of Ac2Pr8Sm3.

Summary:
Its density is 6.95 g/cm³. Its volume is 37.34 Å³/atom. As for the formation energy: 0.17 eV/atom. The energy above the most stable polymorph in this dataset is 0 meV/atom.

Unit cell a=6.3980 b=9.1203 c=9.1203 alpha=83.65 beta=72.79 gamma=72.79
Positions (direct):
Pr (0.6743, 0.0847, 0.5799)
Ac (0.3522, 0.2978, 0.2978)
Pr (0.3257, 0.4201, 0.9153)
Sm (0.0000, 0.7509, 0.2491)
Pr (0.3257, 0.9153, 0.4201)
Pr (0.7683, 0.4285, 0.4285)
Pr (0.6743, 0.5799, 0.0847)
Pr (0.2317, 0.5715, 0.5715)
Sm (0.0000, 0.2491, 0.7509)
Pr (0.0451, 0.8522, 0.8522)
Pr (0.9549, 0.1478, 0.1478)
Sm (0.5000, 0.0000, 0.0000)
Ac (0.6478, 0.7022, 0.7022)